[1]
Entry from Alexandria: crystalline MnAgW2 at its relaxed geometry (PBE).

formation energy = 326 meV per atom
E above lowest polymorph = 0 meV per atom

Unit cell a=2.7332 b=2.7332 c=8.9904 alpha=90.00 beta=90.00 gamma=108.86
With the nearest neighbours (Å) after each atom.
Sites, in units of the cell vectors:
Ag1 0.0000 0.0000 0.5090  4 Ag 2.73, 2 Mn 2.78, 2 W 2.91
Mn1 0.5000 0.5000 0.7620  2 W 2.60, 4 Mn 2.73, 2 Ag 2.78
W1 0.0000 0.0000 0.9908  2 Mn 2.60, 6 W 2.73
W2 0.5000 0.5000 0.2382  6 W 2.73, 2 Ag 2.91


[2]
Entry from Alexandria: crystalline Pr2Bi3Rh4 at its relaxed geometry (PBE).

formation energy = -497 meV per atom

Unit cell a=6.3255 b=7.5042 c=8.9995 alpha=90.00 beta=110.58 gamma=90.00
With the nearest neighbours (Å) after each atom.
Sites, in units of the cell vectors:
Pr1 0.1003 0.5871 0.2006  5 Rh 3.02-3.38, 2 Bi 3.38
Pr2 0.8997 0.4129 0.7994  5 Rh 3.02-3.38, 2 Bi 3.38
Pr3 0.3997 0.0871 0.7994  5 Rh 3.02-3.38, 2 Bi 3.38
Pr4 0.6003 0.9129 0.2006  5 Rh 3.02-3.38, 2 Bi 3.38
Bi1 0.0000 0.0000 0.0000  6 Rh 2.74-2.78
Bi2 0.5000 0.5000 0.0000  6 Rh 2.74-2.78
Bi3 0.5119 0.7500 0.5237  5 Rh 2.80-2.86
Bi4 0.9881 0.2500 0.4763  5 Rh 2.80-2.86
Bi5 0.4881 0.2500 0.4763  5 Rh 2.80-2.86
Bi6 0.0119 0.7500 0.5237  5 Rh 2.80-2.86
Rh1 0.6782 0.7500 0.8564  3 Bi 2.74-2.80, 2 Rh 3.01, 2 Pr 3.02
Rh2 0.8218 0.2500 0.1436  3 Bi 2.74-2.80, 2 Rh 3.01, 2 Pr 3.02
Rh3 0.3218 0.2500 0.1436  3 Bi 2.74-2.80, 2 Rh 3.01, 2 Pr 3.02
Rh4 0.1782 0.7500 0.8564  3 Bi 2.74-2.80, 2 Rh 3.01, 2 Pr 3.02
Rh5 0.1649 0.9809 0.3297  5 Bi 2.78-2.86, 2 Rh 3.01
Rh6 0.8351 0.0191 0.6703  5 Bi 2.78-2.86, 2 Rh 3.01
Rh7 0.3351 0.4809 0.6703  5 Bi 2.78-2.86, 2 Rh 3.01
Rh8 0.6649 0.5191 0.3297  5 Bi 2.78-2.86, 2 Rh 3.01


[3]
Entry from Alexandria: crystalline CaInMo2 at its relaxed geometry (PBE).

formation energy = 1090 meV per atom

Unit cell a=8.0121 b=8.0121 c=6.2894 alpha=50.44 beta=50.44 gamma=90.00
With the nearest neighbours (Å) after each atom.
Sites, in units of the cell vectors:
Mo1 0.6588 0.1250 0.2500  2 In 2.73, 2 Mo 2.78
Mo2 0.0912 0.6250 0.2500  2 In 2.73, 2 Mo 2.78
Mo3 0.3750 0.3412 0.7500  2 In 2.73, 2 Mo 2.78
Mo4 0.8750 0.9088 0.7500  2 In 2.73, 2 Mo 2.78
Ca1 0.5000 0.5000 0.0000  2 In 2.73
Ca2 0.2500 0.7500 0.5000  2 In 2.73
In1 0.0000 0.0000 0.0000  2 Ca 2.73, 4 Mo 2.73
In2 0.7500 0.2500 0.5000  2 Ca 2.73, 4 Mo 2.73


[4]
Entry from Alexandria: crystalline MgAu3F at its relaxed geometry (PBE).

E_form (uncorrected) = 0.114 eV per atom
E above lowest polymorph = 0 meV per atom

Unit cell a=4.6359 b=4.6359 c=4.6359 alpha=90.00 beta=90.00 gamma=90.00
With the nearest neighbours (Å) after each atom.
Sites, in units of the cell vectors:
Mg1 0.5000 0.5000 0.5000  12 Au 3.28
Au1 0.0000 0.5000 0.0000  2 F 2.32
Au2 0.0000 0.0000 0.5000  2 F 2.32
Au3 0.5000 0.0000 0.0000  2 F 2.32
F1 0.0000 0.0000 0.0000  6 Au 2.32